The following is a GGA-PBE calculation of a geometry-optimized LaAg3Br structure, from the Alexandria database.

Properties
Total magnetic moment   0.0 Bohr magnetons per cell
ΔE to the lowest computed polymorph   28.5 kJ/mol of atoms

Lattice parameters (Å, degrees): 5.8463 5.8463 5.8463 90.00 90.00 90.00
Space group Pm-3m (No. 221)
One atom of each set of equivalent atoms:
La: 0.0000 0.0000 0.0000 x1
Ag: 0.0000 0.0000 0.5000 x3
Br: 0.5000 0.5000 0.5000 x1

The following is a GGA-PBE calculation of a geometry-optimized InNiAs2 structure, from the Alexandria database.

Properties
Total magnetic moment   0.0 Bohr magnetons per cell
Formation energy from the elements   -37 kJ/mol of formula units

Lattice parameters (Å, degrees): 4.6009 3.8059 4.8936 90.00 113.27 90.00
Space group P2/m (No. 10)
One atom of each set of equivalent atoms:
In: 0.0000 0.0000 0.0000 x1
Ni: 0.5000 0.0000 0.5000 x1
As: 0.3061 0.5000 0.6695 x2

The following is a GGA-PBE calculation of a geometry-optimized IrRu2Au structure, from the Alexandria database.

Properties
Total magnetic moment   0.0 Bohr magnetons per cell
Formation energy from the elements   106 kJ/mol of formula units
ΔE to the lowest computed polymorph   5.8 kJ/mol of atoms

Lattice parameters (Å, degrees): 2.7697 3.8662 5.6234 90.00 90.00 90.00
Space group Pmm2 (No. 25)
One atom of each set of equivalent atoms:
Ir: 0.0000 0.0000 0.0000 x1
Ru: 0.0000 0.0000 0.4613 x1
Ru: 0.5000 0.5000 0.2378 x1
Au: 0.5000 0.5000 0.7305 x1

The following is a GGA-PBE calculation of a geometry-optimized Au2CN structure, from the Alexandria database.

Properties
Total magnetic moment   0.0 Bohr magnetons per cell
ΔE to the lowest computed polymorph   0.0 kJ/mol of atoms

Lattice parameters (Å, degrees): 5.5023 5.5023 7.5294 90.00 90.00 90.00
Space group I-42d (No. 122)
One atom of each set of equivalent atoms:
Au: 0.2359 0.2500 0.1250 x8
C: 0.0000 0.0000 0.0000 x4
N: 0.0000 0.0000 0.5000 x4

The following is a GGA-PBE calculation of a geometry-optimized KYIn2Sb structure, from the Alexandria database.

Properties
Total magnetic moment   0.0 Bohr magnetons per cell

Lattice parameters (Å, degrees): 5.9946 5.9946 5.8254 90.00 90.00 90.00
Space group P4/mmm (No. 123)
One atom of each set of equivalent atoms:
K: 0.0000 0.0000 0.0000 x1
Y: 0.5000 0.5000 0.5000 x1
In: 0.0000 0.5000 0.5000 x2
Sb: 0.5000 0.5000 0.0000 x1

The following is a GGA-PBE calculation of a geometry-optimized Mg2TaCu2 structure, from the Alexandria database.

Properties
Total magnetic moment   0.0 Bohr magnetons per cell
Formation energy from the elements   177 kJ/mol of formula units
ΔE to the lowest computed polymorph   16.2 kJ/mol of atoms

Lattice parameters (Å, degrees): 3.2122 3.2122 17.3138 90.00 90.00 90.00
Space group I4/mmm (No. 139)
One atom of each set of equivalent atoms:
Mg: 0.0000 0.0000 0.1179 x4
Ta: 0.0000 0.0000 0.5000 x2
Cu: 0.0000 0.5000 0.2500 x4

The following is a GGA-PBE calculation of a geometry-optimized PrAgSbAu structure, from the Alexandria database.

Properties
Total magnetic moment   0.0 Bohr magnetons per cell

Lattice parameters (Å, degrees): 7.3050 7.3050 7.3050 90.00 90.00 90.00
Space group F-43m (No. 216)
One atom of each set of equivalent atoms:
Pr: 0.0000 0.0000 0.0000 x4
Ag: 0.0000 0.0000 0.5000 x4
Sb: 0.2500 0.2500 0.7500 x4
Au: 0.2500 0.2500 0.2500 x4

The following is a GGA-PBE calculation of a geometry-optimized Sr2TlHPt structure, from the Alexandria database.

Properties
Total magnetic moment   0.0 Bohr magnetons per cell

Lattice parameters (Å, degrees): 5.6033 5.6033 3.7651 90.00 90.00 90.00
Space group P4/mmm (No. 123)
One atom of each set of equivalent atoms:
Sr: 0.0000 0.5000 0.0000 x2
Tl: 0.0000 0.0000 0.5000 x1
H: 0.5000 0.5000 0.0000 x1
Pt: 0.5000 0.5000 0.5000 x1

The following is a GGA-PBE calculation of a geometry-optimized Sm3HfPa2N6 structure, from the Alexandria database.

Properties
Total magnetic moment   0.0 Bohr magnetons per cell

Lattice parameters (Å, degrees): 6.0247 10.4306 6.0783 90.00 109.17 90.00
Space group C2/m (No. 12)
One atom of each set of equivalent atoms:
Sm: 0.0000 0.0000 0.0000 x2
Sm: 0.0000 0.3347 0.0000 x4
Hf: 0.0000 0.5000 0.5000 x2
Pa: 0.0000 0.1664 0.5000 x4
N: 0.2346 0.3366 0.7139 x8
N: 0.2475 0.0000 0.7193 x4

The following is a GGA-PBE calculation of a geometry-optimized ThAs2Au2 structure, from the Alexandria database.

Properties
Total magnetic moment   0.0 Bohr magnetons per cell
Formation energy from the elements   -301 kJ/mol of formula units

Lattice parameters (Å, degrees): 4.1043 24.6471 4.1736 90.00 90.00 90.00
Space group Cmcm (No. 63)
One atom of each set of equivalent atoms:
Th: 0.0000 0.1552 0.2500 x4
As: 0.0000 0.2499 0.7500 x4
As: 0.0000 0.3760 0.2500 x4
Au: 0.0000 0.0434 0.7500 x4
Au: 0.0000 0.4552 0.7500 x4

The following is a GGA-PBE calculation of a geometry-optimized CaV2Sn2 structure, from the Alexandria database.

Properties
Total magnetic moment   0.0 Bohr magnetons per cell
Formation energy from the elements   45 kJ/mol of formula units
ΔE to the lowest computed polymorph   8.0 kJ/mol of atoms

Lattice parameters (Å, degrees): 4.6558 4.6558 10.2978 90.00 90.00 90.00
Space group I4/mmm (No. 139)
One atom of each set of equivalent atoms:
Ca: 0.0000 0.0000 0.0000 x2
V: 0.0000 0.0000 0.4105 x4
Sn: 0.0000 0.5000 0.2500 x4

The following is a GGA-PBE calculation of a geometry-optimized TbSm2Th structure, from the Alexandria database.

Properties
Total magnetic moment   0.0 Bohr magnetons per cell
Formation energy from the elements   11 kJ/mol of formula units
ΔE to the lowest computed polymorph   0.9 kJ/mol of atoms

Lattice parameters (Å, degrees): 7.1889 20.4521 3.5942 90.00 90.00 90.00
Space group Cmmm (No. 65)
One atom of each set of equivalent atoms:
Tb: 0.0000 0.1295 0.0000 x4
Sm: 0.0000 0.3713 0.0000 x4
Sm: 0.2467 0.0000 0.5000 x4
Th: 0.2500 0.2500 0.5000 x4

The following is a GGA-PBE calculation of a geometry-optimized LiGePb3 structure, from the Alexandria database.

Properties
Total magnetic moment   0.0 Bohr magnetons per cell
Formation energy from the elements   181 kJ/mol of formula units
ΔE to the lowest computed polymorph   6.8 kJ/mol of atoms

Lattice parameters (Å, degrees): 5.6020 5.6020 5.6020 90.00 90.00 90.00
Space group Pm-3m (No. 221)
One atom of each set of equivalent atoms:
Li: 0.0000 0.0000 0.0000 x1
Ge: 0.5000 0.5000 0.5000 x1
Pb: 0.0000 0.5000 0.5000 x3

The following is a GGA-PBE calculation of a geometry-optimized La12NdIn4O3 structure, from the Alexandria database.

Properties
Total magnetic moment   2.1 Bohr magnetons per cell

Lattice parameters (Å, degrees): 10.4414 10.4414 10.4414 90.00 90.00 90.00
Space group Im-3m (No. 229)
One atom of each set of equivalent atoms:
La: 0.0000 0.0000 0.2717 x12
La: 0.0000 0.2500 0.5000 x12
Nd: 0.0000 0.0000 0.0000 x2
In: 0.2500 0.2500 0.2500 x8
O: 0.0000 0.0000 0.5000 x6

The following is a GGA-PBE calculation of a geometry-optimized ScWSe2 structure, from the Alexandria database.

Properties
Total magnetic moment   0.0 Bohr magnetons per cell
ΔE to the lowest computed polymorph   13.0 kJ/mol of atoms

Lattice parameters (Å, degrees): 3.5431 4.9424 4.7276 90.00 104.09 90.00
Space group Pm (No. 6)
One atom of each set of equivalent atoms:
Sc: 0.0000 0.0000 0.0000 x1
W: 0.4066 0.5000 0.7706 x1
Se: 0.0443 0.5000 0.1752 x1
Se: 0.3743 0.0000 0.5879 x1

The following is a GGA-PBE calculation of a geometry-optimized PaCdP2 structure, from the Alexandria database.

Properties
Total magnetic moment   0.0 Bohr magnetons per cell
Formation energy from the elements   -244 kJ/mol of formula units
ΔE to the lowest computed polymorph   0.0 kJ/mol of atoms

Lattice parameters (Å, degrees): 4.5792 4.5792 3.6150 90.00 90.00 90.00
Space group P4/mmm (No. 123)
One atom of each set of equivalent atoms:
Pa: 0.0000 0.0000 0.0000 x1
Cd: 0.5000 0.5000 0.0000 x1
P: 0.0000 0.5000 0.5000 x2

The following is a GGA-PBE calculation of a geometry-optimized ReRuPb3 structure, from the Alexandria database.

Properties
Total magnetic moment   3.3 Bohr magnetons per cell
Formation energy from the elements   655 kJ/mol of formula units
ΔE to the lowest computed polymorph   0.0 kJ/mol of atoms

Lattice parameters (Å, degrees): 5.2187 5.2187 5.2187 90.00 90.00 90.00
Space group Pm-3m (No. 221)
One atom of each set of equivalent atoms:
Re: 0.0000 0.0000 0.0000 x1
Ru: 0.5000 0.5000 0.5000 x1
Pb: 0.0000 0.5000 0.5000 x3

The following is a GGA-PBE calculation of a geometry-optimized CaBe2 structure, from the Alexandria database.

Properties
Total magnetic moment   0.0 Bohr magnetons per cell
Formation energy from the elements   104 kJ/mol of formula units
ΔE to the lowest computed polymorph   17.1 kJ/mol of atoms

Lattice parameters (Å, degrees): 3.9353 15.9093 3.8225 90.00 90.00 90.00
Space group Cmcm (No. 63)
One atom of each set of equivalent atoms:
Ca: 0.0000 0.1555 0.2500 x4
Be: 0.0000 0.0165 0.7500 x4
Be: 0.0000 0.4624 0.2500 x4

The following is a GGA-PBE calculation of a geometry-optimized NpFe4Tc structure, from the Alexandria database.

Properties
Total magnetic moment   19.6 Bohr magnetons per cell
Formation energy from the elements   98 kJ/mol of formula units

Lattice parameters (Å, degrees): 6.8904 6.8904 6.8904 90.00 90.00 90.00
Space group F-43m (No. 216)
One atom of each set of equivalent atoms:
Np: 0.0000 0.0000 0.0000 x4
Fe: 0.1236 0.1236 0.3764 x16
Tc: 0.2500 0.2500 0.7500 x4

The following is a GGA-PBE calculation of a geometry-optimized Ni2TeH structure, from the Alexandria database.

Properties
Total magnetic moment   0.0 Bohr magnetons per cell
ΔE to the lowest computed polymorph   8.4 kJ/mol of atoms

Lattice parameters (Å, degrees): 4.2245 4.2245 12.5308 90.00 90.00 120.00
Space group R-3m (No. 166, hexagonal axes)
One atom of each set of equivalent atoms:
Ni: 0.0000 0.0000 0.1247 x6
Te: 0.0000 0.0000 0.5000 x3
H: 0.0000 0.0000 0.0000 x3

| no. | volume (Å³ per cell) | density of states at the Fermi level (states/eV/f.u.) | calculated total energy (eV per cell) |
| --- | --- | --- | --- |
| 1 | 199.8 | 4.6 | -11.24 |
| 2 | 78.7 | 2.0 | -18.20 |
| 3 | 60.2 | 4.9 | -29.60 |
| 4 | 228.0 | 2.7 | -68.80 |
| 5 | 209.3 | 4.4 | -17.22 |
| 6 | 178.6 | 3.0 | -42.79 |
| 7 | 389.8 | 1.4 | -68.16 |
| 8 | 118.2 | 3.3 | -17.66 |
| 9 | 360.8 | 5.5 | -225.16 |
| 10 | 422.2 | 1.7 | -105.57 |
| 11 | 223.2 | 3.4 | -55.55 |
| 12 | 528.4 | 5.0 | -85.49 |
| 13 | 175.8 | 4.0 | -15.78 |
| 14 | 1138.4 | 21.3 | -215.67 |
| 15 | 80.3 | 2.2 | -27.98 |
| 16 | 75.8 | 3.3 | -23.76 |
| 17 | 142.1 | 4.0 | -26.06 |
| 18 | 239.3 | 0.9 | -33.51 |
| 19 | 327.1 | 14.6 | -224.58 |
| 20 | 193.7 | 2.0 | -52.95 |